a | # HoErBi2

A geometry-optimized HoErBi2 structure (PBE, Alexandria via LeMat-Bulk).

Cell: 4.449 6.290 8.901 Å, 90.00 90.00 90.00°
Sites, in units of the cell vectors:
Er  0.500  0.000  0.125
Er  0.000  0.500  0.875
Bi  0.000  0.000  0.876
Bi  0.500  0.500  0.124
Bi  0.000  0.000  0.374
Bi  0.500  0.500  0.626
Ho  0.000  0.500  0.375
Ho  0.500  0.000  0.625

density: 10.0 g/cm³
space group: Pmmn, No. 59

---

b | # HoErBi2

A geometry-optimized HoErBi2 structure (PBE, Alexandria via LeMat-Bulk).

Cell: 4.418 4.418 7.960 Å, 73.89 73.89 60.00°
Sites, in units of the cell vectors:
Ho  0.498  0.498  0.505
Bi  0.081  0.081  0.756
Bi  0.252  0.252  0.245
Er  0.669  0.669  0.994

density: 9.8 g/cm³
space group: R3m, No. 160

---

Which of the structures shown above is the most stable? The most stable is a.